A plane-wave DFT calculation with PBE-GGA was carried out for crystalline KIn9Ag3 at its relaxed geometry.

Properties
The total magnetization comes out at 0.00 μB/f.u. As for the formation energy: -34 meV per atom. As for the total energy: -0.1964 Ry per atom.

a = 5.883 Å, b = 15.822 Å, c = 7.604 Å
α = 90.00°, β = 110.32°, γ = 90.00°
Space group C2/m (No. 12)
Unique sites:
K1 0.000 0.000 0.000
In1 0.000 0.000 0.500
In2 0.095 0.388 0.217
In3 0.160 0.180 0.343
Ag1 0.000 0.500 0.500
Ag2 0.250 0.250 0.000

A plane-wave DFT calculation with PBE-GGA was carried out for crystalline K3In5Ag6 at its relaxed geometry.

Properties
The total magnetization comes out at 0.00 μB/f.u. As for the formation energy: -52 meV per atom. As for the total energy: -0.1828 Ry per atom.

a = 4.787 Å, b = 14.363 Å, c = 11.621 Å
α = 90.00°, β = 90.00°, γ = 90.00°
Space group Pmmn (No. 59, origin choice 2)
Unique sites:
K1 0.250 0.043 0.240
K2 0.250 0.750 0.281
In1 0.250 0.068 0.552
In2 0.250 0.645 0.977
In3 0.250 0.750 0.745
Ag1 0.250 0.052 0.954
Ag2 0.250 0.250 0.429
Ag3 0.250 0.250 0.965
Ag4 0.250 0.635 0.550

A plane-wave DFT calculation with PBE-GGA was carried out for crystalline KInAg2 at its relaxed geometry.

Properties
The total magnetization comes out at 0.00 μB/f.u. As for the formation energy: 33 meV per atom. As for the total energy: -0.1729 Ry per atom.

a = 3.403 Å, b = 3.910 Å, c = 7.908 Å
α = 90.00°, β = 90.00°, γ = 90.00°
Space group Pmm2 (No. 25)
Unique sites:
K1 0.000 0.000 0.000
In1 0.500 0.500 0.670
Ag1 0.000 0.000 0.469
Ag2 0.500 0.500 0.306

A plane-wave DFT calculation with PBE-GGA was carried out for crystalline KInAg at its relaxed geometry.

Properties
The total magnetization comes out at 0.00 μB/f.u. As for the formation energy: 468 meV per atom. As for the total energy: -0.1294 Ry per atom.

a = 7.679 Å, b = 7.679 Å, c = 7.679 Å
α = 90.00°, β = 90.00°, γ = 90.00°
Space group F-43m (No. 216)
Unique sites:
K1 0.000 0.000 0.000
In1 0.250 0.250 0.250
Ag1 0.250 0.250 0.750

A plane-wave DFT calculation with PBE-GGA was carried out for crystalline K2InAg at its relaxed geometry.

Properties
The total magnetization comes out at 0.00 μB/f.u. As for the formation energy: 86 meV per atom. As for the total energy: -0.1367 Ry per atom.

a = 4.146 Å, b = 4.706 Å, c = 7.240 Å
α = 90.00°, β = 90.00°, γ = 90.00°
Space group Pmmm (No. 47)
Unique sites:
K1 0.000 0.000 0.239
In1 0.500 0.500 0.500
Ag1 0.500 0.500 0.000

A plane-wave DFT calculation with PBE-GGA was carried out for crystalline KIn8Ag4 at its relaxed geometry.

Properties
The total magnetization comes out at 0.00 μB/f.u. As for the formation energy: -50 meV per atom. As for the total energy: -0.1982 Ry per atom.

a = 10.330 Å, b = 10.330 Å, c = 5.863 Å
α = 90.00°, β = 90.00°, γ = 90.00°
Space group I4/mmm (No. 139)
Unique sites:
K1 0.000 0.000 0.000
In1 0.000 0.217 0.500
In2 0.000 0.350 0.000
Ag1 0.250 0.250 0.250

A plane-wave DFT calculation with PBE-GGA was carried out for crystalline KInAg2 at its relaxed geometry.

Properties
The total magnetization comes out at 0.00 μB/f.u. As for the formation energy: 97 meV per atom. As for the total energy: -0.1682 Ry per atom.

a = 5.448 Å, b = 5.448 Å, c = 19.174 Å
α = 90.00°, β = 90.00°, γ = 90.00°
Space group I4_1/amd (No. 141, origin choice 2)
Unique sites:
K1 0.000 0.250 0.375
In1 0.000 0.250 0.875
Ag1 0.000 0.000 0.000

A plane-wave DFT calculation with PBE-GGA was carried out for crystalline K3In2Ag6 at its relaxed geometry.

Properties
The total magnetization comes out at 0.00 μB/f.u. As for the formation energy: -17 meV per atom. As for the total energy: -0.1742 Ry per atom.

a = 10.537 Å, b = 10.537 Å, c = 10.537 Å
α = 90.00°, β = 90.00°, γ = 90.00°
Space group Im-3m (No. 229)
Unique sites:
K1 0.000 0.000 0.285
In1 0.250 0.250 0.250
Ag1 0.000 0.328 0.328

A plane-wave DFT calculation with PBE-GGA was carried out for crystalline KInAg2 at its relaxed geometry.

Properties
The total magnetization comes out at 0.00 μB/f.u. As for the formation energy: 170 meV per atom. As for the total energy: -0.1628 Ry per atom.

a = 4.735 Å, b = 4.735 Å, c = 8.970 Å
α = 90.00°, β = 90.00°, γ = 90.00°
Space group I-4m2 (No. 119)
Unique sites:
K1 0.000 0.000 0.000
In1 0.000 0.500 0.250
Ag1 0.000 0.000 0.500
Ag2 0.000 0.500 0.750

A plane-wave DFT calculation with PBE-GGA was carried out for crystalline KInAg2 at its relaxed geometry.

Properties
The total magnetization comes out at 0.00 μB/f.u. As for the formation energy: 74 meV per atom. As for the total energy: -0.1698 Ry per atom.

a = 3.188 Å, b = 5.528 Å, c = 11.363 Å
α = 90.00°, β = 90.00°, γ = 90.00°
Space group Imm2 (No. 44)
Unique sites:
K1 0.000 0.000 0.000
In1 0.000 0.500 0.213
Ag1 0.000 0.000 0.494
Ag2 0.000 0.500 0.785

A plane-wave DFT calculation with PBE-GGA was carried out for crystalline KIn2Ag2 at its relaxed geometry.

Properties
The total magnetization comes out at 0.00 μB/f.u. As for the formation energy: -37 meV per atom. As for the total energy: -0.1832 Ry per atom.

a = 4.768 Å, b = 4.768 Å, c = 12.180 Å
α = 90.00°, β = 90.00°, γ = 90.00°
Space group I4/mmm (No. 139)
Unique sites:
K1 0.000 0.000 0.000
In1 0.000 0.500 0.250
Ag1 0.000 0.000 0.385

A plane-wave DFT calculation with PBE-GGA was carried out for crystalline KIn2Ag2 at its relaxed geometry.

Properties
The total magnetization comes out at 0.00 μB/f.u. As for the formation energy: -58 meV per atom. As for the total energy: -0.1847 Ry per atom.

a = 5.169 Å, b = 5.169 Å, c = 10.545 Å
α = 90.00°, β = 90.00°, γ = 90.00°
Space group I4/mmm (No. 139)
Unique sites:
K1 0.000 0.000 0.000
In1 0.000 0.000 0.358
Ag1 0.000 0.500 0.250